Computed, not measured: LiThPdRh after structural relaxation at the PBE level of DFT.

E ... -6.05 eV per atom
DFT formation energy ... -582.4 meV per atom
Offset from the most stable computed form ... 108 meV/atom
Space-group type ... F-43m

a b c (Å): 4.783 4.783 4.783
angles (deg): 60.00 60.00 60.00
Positions (direct):
1 Rh 0.750 0.750 0.750
2 Pd 0.250 0.250 0.250
3 Th 0.500 0.500 0.500
4 Li 0.000 0.000 0.000

---

Computed, not measured: LiMn2SnHg after structural relaxation at the PBE level of DFT.

E ... -4.28 eV per atom
DFT formation energy ... 635.2 meV per atom
Space-group type ... P4/mmm

a b c (Å): 5.062 4.693 5.062
angles (deg): 90.00 90.00 90.00
Positions (direct):
1 Mn 0.000 0.000 0.500
2 Mn 0.500 0.000 0.000
3 Li 0.000 0.500 0.000
4 Hg 0.000 0.000 0.000
5 Sn 0.500 0.500 0.500

---

Computed, not measured: CaMg5Cu2 after structural relaxation at the PBE level of DFT.

E ... -2.35 eV per atom
DFT formation energy ... -78.3 meV per atom
Space-group type ... Immm

a b c (Å): 4.349 6.773 6.773
angles (deg): 73.48 71.27 71.27
Positions (direct):
1 Ca 0.000 0.000 0.000
2 Mg 0.000 0.500 0.500
3 Mg 0.661 0.524 0.154
4 Mg 0.339 0.476 0.846
5 Mg 0.339 0.846 0.476
6 Mg 0.661 0.154 0.524
7 Cu 0.737 0.763 0.763
8 Cu 0.263 0.237 0.237

---

Computed, not measured: HfCrBi3 after structural relaxation at the PBE level of DFT.

E ... -5.42 eV per atom
DFT formation energy ... 822.3 meV per atom
Offset from the most stable computed form ... 82 meV/atom
Space-group type ... Pm-3m

a b c (Å): 5.239 5.239 5.239
angles (deg): 90.00 90.00 90.00
Positions (direct):
1 Cr 0.000 0.000 0.000
2 Hf 0.500 0.500 0.500
3 Bi 0.000 0.500 0.000
4 Bi 0.000 0.000 0.500
5 Bi 0.500 0.000 0.000

---

Computed, not measured: CdOs2Cl after structural relaxation at the PBE level of DFT.

E ... -4.85 eV per atom
Offset from the most stable computed form ... 1214 meV/atom
Formation energy from raw total energies ... 5.8 eV/f.u.
Space-group type ... I-42d

a b c (Å): 7.033 7.033 5.690
angles (deg): 51.83 51.83 90.00
Positions (direct):
1 Cl 0.500 0.500 0.000
2 Cl 0.250 0.750 0.500
3 Os 0.552 0.125 0.250
4 Os 0.198 0.625 0.250
5 Os 0.375 0.448 0.750
6 Os 0.875 0.802 0.750
7 Cd 0.000 0.000 0.000
8 Cd 0.750 0.250 0.500

---

Computed, not measured: Ta2TcW after structural relaxation at the PBE level of DFT.

E ... -11.94 eV per atom
DFT formation energy ... -179.8 meV per atom
Offset from the most stable computed form ... 123 meV/atom
Space-group type ... Immm

a b c (Å): 5.297 5.297 5.297
angles (deg): 144.68 128.43 64.06
Positions (direct):
1 Ta 0.998 0.998 0.000
2 Ta 0.502 0.502 0.000
3 Tc 0.750 0.250 0.500
4 W 0.250 0.750 0.500